Entry 1:
Density functional theory data (PBE-GGA) for a relaxed SrCa2Pb2 crystal.

The structure belongs to space group P4/mbm (No. 127); the cell edges are 9.515, 9.515 and 3.788 Å and the angles 90.00°, 90.00° and 90.00°. Symmetry generates all atoms from Sr at (0.000, 0.000, 0.000), Ca at (0.132, 0.368, 0.500) and Pb at (0.168, 0.668, 0.000).

Its spin magnetization is 0.0 μB per cell. The value obtained for the formation energy is -484.0 meV per atom.



Entry 2:
Density functional theory data (PBE-GGA) for a relaxed TePtPb2 crystal.

The structure belongs to space group P4mm (No. 99); the cell edges are 3.637, 3.637 and 8.029 Å and the angles 90.00°, 90.00° and 90.00°. Symmetry generates all atoms from Te at (0.000, 0.000, 0.000), Pt at (0.500, 0.500, 0.847), Pb at (0.000, 0.000, 0.613) and Pb at (0.500, 0.500, 0.275).

Its electronic total energy is -4.157 eV per atom. Its spin magnetization is 0.0 μB per cell.



Entry 3:
Density functional theory data (PBE-GGA) for a relaxed MoPPd2 crystal.

The structure belongs to space group I-42d (No. 122); the cell edges are 3.659, 3.659 and 18.791 Å and the angles 90.00°, 90.00° and 90.00°. Symmetry generates all atoms from Mo at (0.000, 0.000, 0.000), P at (0.000, 0.000, 0.500) and Pd at (0.246, 0.250, 0.625).

Its spin magnetization is 0.0 μB per cell. The value obtained for the formation energy is 153.6 meV per atom.



Entry 4:
Density functional theory data (PBE-GGA) for a relaxed BePtRh2 crystal.

The structure belongs to space group P2/m (No. 10); the cell edges are 2.757, 3.940 and 5.038 Å and the angles 90.00°, 102.77° and 90.00°. Symmetry generates all atoms from Be at (0.000, 0.000, 0.000), Pt at (0.000, 0.000, 0.500) and Rh at (0.369, 0.500, 0.230).

Its spin magnetization is 0.0 μB per cell. The value obtained for the formation energy is -185.4 meV per atom.



Entry 5:
Density functional theory data (PBE-GGA) for a relaxed VGa2Tc2 crystal.

The structure belongs to space group P4/mbm (No. 127); the cell edges are 6.779, 6.779 and 3.196 Å and the angles 90.00°, 90.00° and 90.00°. Symmetry generates all atoms from V at (0.000, 0.000, 0.000), Ga at (0.134, 0.366, 0.000) and Tc at (0.166, 0.666, 0.500).

Its spin magnetization is 1.6 μB per cell. The value obtained for the formation energy is -29.1 meV per atom.



Entry 6:
Density functional theory data (PBE-GGA) for a relaxed MgAl4Ag crystal.

The structure belongs to space group F-43m (No. 216); the cell edges are 7.626, 7.626 and 7.626 Å and the angles 90.00°, 90.00° and 90.00°. Symmetry generates all atoms from Mg at (0.000, 0.000, 0.000), Al at (0.125, 0.125, 0.375) and Ag at (0.250, 0.250, 0.750).

Its spin magnetization is 0.0 μB per cell. The value obtained for the formation energy is 101.6 meV per atom.



Entry 7:
Density functional theory data (PBE-GGA) for a relaxed ScSBrCl2 crystal.

The structure belongs to space group P4/mmm (No. 123); the cell edges are 4.997, 4.997 and 5.415 Å and the angles 90.00°, 90.00° and 90.00°. Symmetry generates all atoms from Sc at (0.000, 0.000, 0.000), S at (0.500, 0.500, 0.000), Br at (0.500, 0.500, 0.500) and Cl at (0.000, 0.500, 0.500).

Its electronic total energy is -2.931 eV per atom. Its spin magnetization is 1.0 μB per cell.



Entry 8:
Density functional theory data (PBE-GGA) for a relaxed TcHg3Au crystal.

The structure belongs to space group Pm-3m (No. 221); the cell edges are 5.295, 5.295 and 5.295 Å and the angles 90.00°, 90.00° and 90.00°. Symmetry generates all atoms from Tc at (0.000, 0.000, 0.000), Hg at (0.000, 0.500, 0.500) and Au at (0.500, 0.500, 0.500).

Its spin magnetization is 4.4 μB per cell. The value obtained for the formation energy is 1083.4 meV per atom.



Entry 9:
Density functional theory data (PBE-GGA) for a relaxed InFeHRh2 crystal.

The structure belongs to space group P4/mmm (No. 123); the cell edges are 4.090, 4.090 and 3.777 Å and the angles 90.00°, 90.00° and 90.00°. Symmetry generates all atoms from In at (0.000, 0.000, 0.000), Fe at (0.500, 0.500, 0.000), H at (0.500, 0.500, 0.500) and Rh at (0.000, 0.500, 0.500).

Its electronic total energy is -5.990 eV per atom. Its spin magnetization is 3.8 μB per cell.



Entry 10:
Density functional theory data (PBE-GGA) for a relaxed Rb4Sm3PaS8 crystal.

The structure belongs to space group R-3m (No. 166, hexagonal axes); the cell edges are 8.2961, 8.2961 and 23.1534 Å and the angles 90.00°, 90.00° and 120.00°. Symmetry generates all atoms from Rb at (0.0000, 0.0000, 0.0000), Rb at (0.0000, 0.5000, 0.0000), Sm at (0.0000, 0.5000, 0.5000), Pa at (0.0000, 0.0000, 0.5000), S at (0.0000, 0.0000, 0.2325) and S at (0.0069, 0.5035, 0.2319).

Its electronic total energy is -5.508 eV per atom. Its spin magnetization is 5.3 μB per cell.



Entry 11:
Density functional theory data (PBE-GGA) for a relaxed ZnSiSe2 crystal.

The structure belongs to space group R-3m (No. 166, hexagonal axes); the cell edges are 3.8519, 3.8519 and 22.3357 Å and the angles 90.00°, 90.00° and 120.00°. Symmetry generates all atoms from Zn at (0.0000, 0.0000, 0.0000), Si at (0.0000, 0.0000, 0.5000) and Se at (0.0000, 0.0000, 0.3954).

Its electronic total energy is -3.244 eV per atom. Its spin magnetization is 0.0 μB per cell.



Entry 12:
Density functional theory data (PBE-GGA) for a relaxed Cr2FeTc crystal.

The structure belongs to space group Cm (No. 8); the cell edges are 8.571, 2.592 and 4.479 Å and the angles 90.00°, 99.80° and 90.00°. Symmetry generates all atoms from Cr at (0.000, 0.000, 0.000), Cr at (0.244, 0.000, 0.755), Fe at (0.237, 0.500, 0.239) and Tc at (0.482, 0.000, 0.488).

Its spin magnetization is 1.1 μB per cell. The value obtained for the formation energy is 204.0 meV per atom.